[1]
Sr2Cd4SnHg3 | PBE | relaxed

Summary:
formation enthalpy at 0 K = -0.298 eV/atom
space group = No. 115

a = 4.6885 Å, b = 4.6885 Å, c = 12.7173 Å
α = 90.00°, β = 90.00°, γ = 90.00°
Last column: nearest neighbours and their distance in Å.
Positions (direct):
Cd (0.0000, 0.5000, 0.3609)  3 Hg 2.80-2.94, 2 Sn 2.94
Cd (0.5000, 0.5000, 0.0000)  4 Hg 2.95
Cd (0.0000, 0.0000, 0.0000)  4 Hg 2.95
Cd (0.5000, 0.0000, 0.6391)  3 Hg 2.80-2.94, 2 Sn 2.94
Hg (0.5000, 0.0000, 0.8590)  5 Cd 2.80-2.95
Hg (0.0000, 0.0000, 0.5000)  4 Cd 2.94
Hg (0.0000, 0.5000, 0.1410)  5 Cd 2.80-2.95
Sn (0.5000, 0.5000, 0.5000)  4 Cd 2.94
Sr (0.5000, 0.0000, 0.2497)  6 Hg 3.59-3.95, 8 Cd 3.60-3.95, 2 Sn 3.95
Sr (0.0000, 0.5000, 0.7503)  6 Hg 3.59-3.95, 8 Cd 3.60-3.95, 2 Sn 3.95

=====

[2]
Sr2Cd3SnHg4 | PBE | relaxed

Summary:
formation enthalpy at 0 K = -0.289 eV/atom
space group = No. 115

a = 4.6968 Å, b = 4.6968 Å, c = 12.7178 Å
α = 90.00°, β = 90.00°, γ = 90.00°
Last column: nearest neighbours and their distance in Å.
Positions (direct):
Hg (0.0000, 0.0000, 0.0000)  4 Cd 2.93
Hg (0.0000, 0.5000, 0.3564)  3 Cd 2.79-2.98, 2 Sn 2.98
Hg (0.5000, 0.0000, 0.6436)  3 Cd 2.79-2.98, 2 Sn 2.98
Hg (0.5000, 0.5000, 0.0000)  4 Cd 2.93
Sr (0.0000, 0.5000, 0.7476)  8 Hg 3.57-3.98, 6 Cd 3.63-3.93, 2 Sn 3.93
Sr (0.5000, 0.0000, 0.2524)  8 Hg 3.57-3.98, 6 Cd 3.63-3.93, 2 Sn 3.93
Sn (0.5000, 0.5000, 0.5000)  4 Hg 2.98, 4 Cd 3.32
Cd (0.0000, 0.5000, 0.1372)  5 Hg 2.79-2.93
Cd (0.5000, 0.0000, 0.8628)  5 Hg 2.79-2.93
Cd (0.0000, 0.0000, 0.5000)  4 Hg 2.98, 4 Sn 3.32

=====

[3]
SrCd2Sn2Hg | PBE | relaxed

Summary:
formation enthalpy at 0 K = -0.221 eV/atom
space group = No. 58

a = 5.1581 Å, b = 8.0480 Å, c = 8.7113 Å
α = 90.00°, β = 90.00°, γ = 90.00°
Last column: nearest neighbours and their distance in Å.
Positions (direct):
Hg (0.0000, 0.0000, 0.0000)  2 Sn 2.88, 2 Cd 3.09
Hg (0.5000, 0.5000, 0.5000)  2 Sn 2.88, 2 Cd 3.09
Sn (0.5000, 0.2055, 0.6886)  1 Hg 2.88, 3 Cd 2.92-3.10
Sn (0.0000, 0.2945, 0.1886)  1 Hg 2.88, 3 Cd 2.92-3.10
Sn (0.0000, 0.7055, 0.8114)  1 Hg 2.88, 3 Cd 2.92-3.10
Sn (0.5000, 0.7945, 0.3114)  1 Hg 2.88, 3 Cd 2.92-3.10
Cd (0.5000, 0.8202, 0.6966)  3 Sn 2.92-3.10, 1 Hg 3.09
Cd (0.0000, 0.6798, 0.1966)  3 Sn 2.92-3.10, 1 Hg 3.09
Cd (0.0000, 0.3202, 0.8034)  3 Sn 2.92-3.10, 1 Hg 3.09
Cd (0.5000, 0.1798, 0.3034)  3 Sn 2.92-3.10, 1 Hg 3.09
Sr (0.5000, 0.5000, 0.0000)  6 Cd 3.42-3.69, 6 Sn 3.48-3.60
Sr (0.0000, 0.0000, 0.5000)  6 Cd 3.42-3.69, 6 Sn 3.48-3.60

=====

[4]
Sr3CdSn2Hg6 | PBE | relaxed

Summary:
formation enthalpy at 0 K = -0.268 eV/atom
space group = No. 164

a = 6.4792 Å, b = 6.4792 Å, c = 9.6527 Å
α = 90.00°, β = 90.00°, γ = 120.00°
Last column: nearest neighbours and their distance in Å.
Positions (direct):
Sn (0.6667, 0.3333, 0.0275)  3 Hg 3.35, 4 Sr 3.53-3.75
Sn (0.3333, 0.6667, 0.9725)  3 Hg 3.35, 4 Sr 3.53-3.75
Sr (0.6667, 0.3333, 0.3934)  9 Hg 3.46-3.71, 1 Sn 3.53
Sr (0.0000, 0.0000, 0.0000)  6 Hg 3.26
Sr (0.3333, 0.6667, 0.6066)  9 Hg 3.46-3.71, 1 Sn 3.53
Hg (0.3533, 0.1767, 0.7321)  1 Cd 2.99, 2 Hg 3.05, 1 Sr 3.26, 1 Sn 3.35
Hg (0.8233, 0.6467, 0.7321)  1 Cd 2.99, 2 Hg 3.05, 1 Sr 3.26, 1 Sn 3.35
Hg (0.1767, 0.8233, 0.2679)  1 Cd 2.99, 2 Hg 3.05, 1 Sr 3.26, 1 Sn 3.35
Hg (0.1767, 0.3533, 0.2679)  1 Cd 2.99, 2 Hg 3.05, 1 Sr 3.26, 1 Sn 3.35
Hg (0.6467, 0.8233, 0.2679)  1 Cd 2.99, 2 Hg 3.05, 1 Sr 3.26, 1 Sn 3.35
Hg (0.8233, 0.1767, 0.7321)  1 Cd 2.99, 2 Hg 3.05, 1 Sr 3.26, 1 Sn 3.35
Cd (0.0000, 0.0000, 0.5000)  6 Hg 2.99

=====

[5]
Sr2Cd3Sn4Hg | PBE | relaxed

Summary:
formation enthalpy at 0 K = -0.317 eV/atom
space group = No. 115

a = 4.8881 Å, b = 4.8881 Å, c = 12.2116 Å
α = 90.00°, β = 90.00°, γ = 90.00°
Last column: nearest neighbours and their distance in Å.
Positions (direct):
Sn (0.5000, 0.0000, 0.6350)  3 Cd 2.78-2.95, 2 Hg 2.95
Sn (0.0000, 0.5000, 0.3650)  3 Cd 2.78-2.95, 2 Hg 2.95
Sn (0.5000, 0.5000, 0.0000)  4 Cd 2.96
Sn (0.0000, 0.0000, 0.0000)  4 Cd 2.96
Hg (0.5000, 0.5000, 0.5000)  4 Sn 2.95
Sr (0.0000, 0.5000, 0.7416)  8 Sn 3.69-3.99, 6 Cd 3.76-3.83, 2 Hg 3.83
Sr (0.5000, 0.0000, 0.2584)  8 Sn 3.69-3.99, 6 Cd 3.76-3.83, 2 Hg 3.83
Cd (0.0000, 0.0000, 0.5000)  4 Sn 2.95
Cd (0.5000, 0.0000, 0.8626)  5 Sn 2.78-2.96
Cd (0.0000, 0.5000, 0.1374)  5 Sn 2.78-2.96

=====

[6]
Sr2CdSn2Hg4 | PBE | relaxed

Summary:
formation enthalpy at 0 K = -0.320 eV/atom
space group = No. 139

a = 7.1975 Å, b = 7.1975 Å, c = 7.1975 Å
α = 89.15°, β = 120.49°, γ = 120.49°
Last column: nearest neighbours and their distance in Å.
Positions (direct):
Hg (0.4414, 0.7207, 0.7207)  1 Cd 2.82, 2 Sn 3.07, 2 Hg 3.15
Hg (0.0000, 0.2793, 0.7207)  1 Cd 2.82, 2 Sn 3.07, 2 Hg 3.15
Hg (0.0000, 0.7207, 0.2793)  1 Cd 2.82, 2 Sn 3.07, 2 Hg 3.15
Hg (0.5586, 0.2793, 0.2793)  1 Cd 2.82, 2 Sn 3.07, 2 Hg 3.15
Cd (0.0000, 0.0000, 0.0000)  4 Hg 2.82, 2 Sn 3.02
Sn (0.0000, 0.2945, 0.2945)  1 Cd 3.02, 4 Hg 3.07
Sn (0.0000, 0.7055, 0.7055)  1 Cd 3.02, 4 Hg 3.07
Sr (0.5000, 0.2500, 0.7500)  4 Sn 3.60, 8 Hg 3.61
Sr (0.5000, 0.7500, 0.2500)  4 Sn 3.60, 8 Hg 3.61

=====

[7]
SrCdSnHg | PBE | relaxed

Summary:
formation enthalpy at 0 K = -0.358 eV/atom
space group = No. 216

a = 5.4100 Å, b = 5.4100 Å, c = 5.4100 Å
α = 60.00°, β = 60.00°, γ = 60.00°
Last column: nearest neighbours and their distance in Å.
Positions (direct):
Sr (0.2500, 0.2500, 0.2500)  4 Hg 3.31, 4 Sn 3.31
Hg (0.0000, 0.0000, 0.0000)  4 Cd 3.31, 4 Sr 3.31
Sn (0.5000, 0.5000, 0.5000)  4 Sr 3.31, 4 Cd 3.31
Cd (0.7500, 0.7500, 0.7500)  4 Hg 3.31, 4 Sn 3.31

=====

[8]
Sr2Cd4Sn3Hg | PBE | relaxed

Summary:
formation enthalpy at 0 K = -0.330 eV/atom
space group = No. 115

a = 4.7471 Å, b = 4.7471 Å, c = 12.5410 Å
α = 90.00°, β = 90.00°, γ = 90.00°
Last column: nearest neighbours and their distance in Å.
Positions (direct):
Cd (0.5000, 0.5000, 0.0000)  4 Sn 2.95
Cd (0.0000, 0.0000, 0.0000)  4 Sn 2.95
Cd (0.0000, 0.5000, 0.3620)  3 Sn 2.79-2.94, 2 Hg 2.94
Cd (0.5000, 0.0000, 0.6380)  3 Sn 2.79-2.94, 2 Hg 2.94
Hg (0.5000, 0.5000, 0.5000)  4 Cd 2.94
Sn (0.5000, 0.0000, 0.8607)  5 Cd 2.79-2.95
Sn (0.0000, 0.0000, 0.5000)  4 Cd 2.94
Sn (0.0000, 0.5000, 0.1393)  5 Cd 2.79-2.95
Sr (0.0000, 0.5000, 0.7511)  6 Sn 3.63-3.94, 8 Cd 3.64-3.92, 2 Hg 3.94
Sr (0.5000, 0.0000, 0.2489)  6 Sn 3.63-3.94, 8 Cd 3.64-3.92, 2 Hg 3.94

=====

[9]
Sr2CdSn4Hg3 | PBE | relaxed

Summary:
formation enthalpy at 0 K = -0.312 eV/atom
space group = No. 115

a = 4.8593 Å, b = 4.8593 Å, c = 12.4532 Å
α = 90.00°, β = 90.00°, γ = 90.00°
Last column: nearest neighbours and their distance in Å.
Positions (direct):
Sn (0.5000, 0.0000, 0.6343)  3 Hg 2.79-2.95, 2 Cd 2.95
Sn (0.0000, 0.5000, 0.3657)  3 Hg 2.79-2.95, 2 Cd 2.95
Sn (0.5000, 0.5000, 0.0000)  4 Hg 3.00
Sn (0.0000, 0.0000, 0.0000)  4 Hg 3.00
Cd (0.5000, 0.5000, 0.5000)  4 Sn 2.95
Sr (0.0000, 0.5000, 0.7447)  8 Sn 3.70-4.00, 6 Hg 3.72-3.90, 2 Cd 3.90
Sr (0.5000, 0.0000, 0.2553)  8 Sn 3.70-4.00, 6 Hg 3.72-3.90, 2 Cd 3.90
Hg (0.0000, 0.0000, 0.5000)  4 Sn 2.95
Hg (0.0000, 0.5000, 0.1419)  5 Sn 2.79-3.00
Hg (0.5000, 0.0000, 0.8581)  5 Sn 2.79-3.00

=====

[10]
SrCdSnHg | PBE | relaxed

Summary:
formation enthalpy at 0 K = -0.332 eV/atom
space group = No. 8

a = 5.0053 Å, b = 4.9965 Å, c = 6.2462 Å
α = 66.35°, β = 90.00°, γ = 120.06°
Last column: nearest neighbours and their distance in Å.
Positions (direct):
Cd (0.8315, 0.6631, 0.7810)  3 Sn 2.93
Sr (0.6127, 0.2255, 0.4371)  3 Hg 3.29, 4 Cd 3.46-3.63
Hg (0.3747, 0.7494, 0.1508)  3 Sn 3.27-3.28, 3 Sr 3.29, 3 Cd 3.53-3.54
Sn (0.1354, 0.2707, 0.8703)  3 Cd 2.93, 3 Hg 3.27-3.28

=====

no.,calculated volume (Å³ per atom)
1,28.0
2,28.1
3,30.1
4,29.2
5,29.2
6,29.1
7,28.0
8,28.3
9,29.4
10,30.0